Record 1
# TmCd2PbO6 | Alexandria | PBE-GGA | optimized geometry
data_TmCd2PbO6
_cell_length_a 5.7319
_cell_length_b 5.7319
_cell_length_c 15.2007
_cell_angle_alpha 90.00
_cell_angle_beta 90.00
_cell_angle_gamma 120.00
_symmetry_space_group_name_H-M 'R 3'
_symmetry_Int_Tables_number 146
_symmetry_space_group_name_Hall 'R 3'
loop_
_atom_site_label
_atom_site_type_symbol
_atom_site_fract_x
_atom_site_fract_y
_atom_site_fract_z
Tm1 Tm 0.0000 0.0000 0.0000
Cd1 Cd 0.0000 0.0000 0.2841
Cd2 Cd 0.0000 0.0000 0.7860
Pb1 Pb 0.0000 0.0000 0.4972
O1 O 0.0471 0.6826 0.0653
O2 O 0.0491 0.3593 0.5643
# magnetic moment	1.093	μB per formula unit
# total DFT energy (no corrections)	-5.470	eV per atom
# V	14.417	A^3/atom



Record 2
# Tm2CdPbO6 | Alexandria | PBE-GGA | optimized geometry
data_Tm2CdPbO6
_cell_length_a 5.7269
_cell_length_b 5.7269
_cell_length_c 15.2540
_cell_angle_alpha 90.00
_cell_angle_beta 90.00
_cell_angle_gamma 120.00
_symmetry_space_group_name_H-M 'R 3'
_symmetry_Int_Tables_number 146
_symmetry_space_group_name_Hall 'R 3'
loop_
_atom_site_label
_atom_site_type_symbol
_atom_site_fract_x
_atom_site_fract_y
_atom_site_fract_z
Tm1 Tm 0.0000 0.0000 0.0000
Tm2 Tm 0.0000 0.0000 0.4981
Cd1 Cd 0.0000 0.0000 0.2204
Pb1 Pb 0.0000 0.0000 0.7080
O1 O 0.0198 0.7225 0.6030
O2 O 0.0281 0.3609 0.7663
# magnetic moment	0.000	μB per formula unit
# total DFT energy (no corrections)	-6.613	eV per atom
# V	14.442	A^3/atom



Record 3
# UCdPb2O6 | Alexandria | PBE-GGA | optimized geometry
data_UCdPb2O6
_cell_length_a 5.9546
_cell_length_b 6.1702
_cell_length_c 10.4228
_cell_angle_alpha 90.00
_cell_angle_beta 124.46
_cell_angle_gamma 90.00
_symmetry_space_group_name_H-M 'P 1 21/c 1'
_symmetry_Int_Tables_number 14
loop_
_symmetry_equiv_pos_as_xyz
'x,y,z'
'-x,-y,-z'
'-x,y+1/2,-z+1/2'
'x,-y+1/2,z+1/2'
loop_
_atom_site_label
_atom_site_type_symbol
_atom_site_fract_x
_atom_site_fract_y
_atom_site_fract_z
U1 U 0.0000 0.0000 0.0000
Cd1 Cd 0.5000 0.0000 0.5000
Pb1 Pb 0.2592 0.0418 0.7608
O1 O 0.1410 0.0412 0.2388
O2 O 0.2301 0.7232 0.0551
O3 O 0.3334 0.1768 0.0342
# magnetic moment	0.000	μB per formula unit
# total DFT energy (no corrections)	-6.867	eV per atom
# V	15.787	A^3/atom



Record 4
# UCdPbO6 | Alexandria | PBE-GGA | optimized geometry
data_UCdPbO6
_cell_length_a 5.6584
_cell_length_b 5.6584
_cell_length_c 9.7544
_cell_angle_alpha 90.00
_cell_angle_beta 90.00
_cell_angle_gamma 120.00
_symmetry_space_group_name_H-M 'P -3 1 c'
_symmetry_Int_Tables_number 163
_symmetry_space_group_name_Hall '-P 3 2c'
loop_
_atom_site_label
_atom_site_type_symbol
_atom_site_fract_x
_atom_site_fract_y
_atom_site_fract_z
U1 U 0.3333 0.6667 0.2500
Cd1 Cd 0.0000 0.0000 0.0000
Pb1 Pb 0.3333 0.6667 0.7500
O1 O 0.0146 0.3568 0.1335
# magnetic moment	0.000	μB per formula unit
# total DFT energy (no corrections)	-6.852	eV per atom
# V	15.026	A^3/atom



Q: Among the records above, which one has the highest total DFT energy (no corrections)?
A: TmCd2PbO6



Q: Which of these has the lowest total DFT energy (no corrections)?
A: UCdPb2O6



Q: Which value of magnetic moment does entry 4 give?
A: 0.000 μB per formula unit